Entry from Alexandria via LeMat-Bulk: a relaxed structure of CdRuSCl2 (GGA-PBE).

Summary:
spin magnetization = 3.93 Bohr magnetons per cell
uncorrected formation energy = 0.6396 eV/atom
electronic total energy = -14.81 eV for the cell shown
space-group type = No. 123
polymorph energy (0 for the lowest one) = 722 meV per atom

Unit cell a=5.0407 b=5.0407 c=5.1623 alpha=90.00 beta=90.00 gamma=90.00
Fractional positions:
Cd1 0.0000 0.0000 0.0000
Ru1 0.5000 0.5000 0.5000
S1 0.0000 0.0000 0.5000
Cl1 0.0000 0.5000 0.0000
Cl2 0.5000 0.0000 0.0000

***

Entry from Alexandria via LeMat-Bulk: a relaxed structure of TbY2P3Rh12 (GGA-PBE).

Summary:
spin magnetization = 0.00 Bohr magnetons per cell
electronic total energy = -129.19 eV for the cell shown
space-group type = No. 166

Unit cell a=6.7108 b=6.7108 c=6.7108 alpha=83.88 beta=83.88 gamma=83.88
Fractional positions:
Tb1 0.0000 0.0000 0.0000
Y1 0.3716 0.3716 0.3716
Y2 0.6284 0.6284 0.6284
P1 0.0000 0.0000 0.5000
P2 0.0000 0.5000 0.0000
P3 0.5000 0.0000 0.0000
Rh1 0.0923 0.6304 0.6304
Rh2 0.1796 0.1796 0.6628
Rh3 0.1796 0.6628 0.1796
Rh4 0.3372 0.8204 0.8204
Rh5 0.3696 0.3696 0.9077
Rh6 0.3696 0.9077 0.3696
Rh7 0.6304 0.0923 0.6304
Rh8 0.6304 0.6304 0.0923
Rh9 0.6628 0.1796 0.1796
Rh10 0.8204 0.3372 0.8204
Rh11 0.8204 0.8204 0.3372
Rh12 0.9077 0.3696 0.3696

***

Entry from Alexandria via LeMat-Bulk: a relaxed structure of Be2AlW (GGA-PBE).

Summary:
spin magnetization = 0.00 Bohr magnetons per cell
electronic total energy = -22.93 eV for the cell shown
space-group type = No. 166

Unit cell a=8.2249 b=8.2249 c=8.2249 alpha=19.24 beta=19.24 gamma=19.24
Fractional positions:
Be1 0.2504 0.2504 0.2504
Be2 0.7496 0.7496 0.7496
Al1 0.0000 0.0000 0.0000
W1 0.5000 0.5000 0.5000

***

Entry from Alexandria via LeMat-Bulk: a relaxed structure of RbNbSi2 (GGA-PBE).

Summary:
spin magnetization = 0.00 Bohr magnetons per cell
uncorrected formation energy = 0.5105 eV/atom
electronic total energy = -39.68 eV for the cell shown
space-group type = No. 141
polymorph energy (0 for the lowest one) = 0 meV per atom

Unit cell a=8.9593 b=8.9593 c=8.9593 alpha=141.29 beta=141.29 gamma=55.89
Fractional positions:
Rb1 0.3750 0.6250 0.7500
Rb2 0.6250 0.3750 0.2500
Nb1 0.1250 0.8750 0.2500
Nb2 0.8750 0.1250 0.7500
Si1 0.0000 0.0000 0.0000
Si2 0.0000 0.0000 0.5000
Si3 0.0000 0.5000 0.0000
Si4 0.5000 0.0000 0.5000

***

Entry from Alexandria via LeMat-Bulk: a relaxed structure of LaTb3Sb4 (GGA-PBE).

Summary:
spin magnetization = 0.00 Bohr magnetons per cell
uncorrected formation energy = -1.1723 eV/atom
electronic total energy = -44.69 eV for the cell shown
space-group type = No. 65

Unit cell a=7.7232 b=7.7232 c=4.4649 alpha=90.00 beta=90.00 gamma=109.46
Fractional positions:
La1 0.0000 0.0000 0.0000
Tb1 0.0000 0.5000 0.5000
Tb2 0.5000 0.0000 0.5000
Tb3 0.5000 0.5000 0.0000
Sb1 0.2540 0.7460 0.0000
Sb2 0.2582 0.2582 0.5000
Sb3 0.7418 0.7418 0.5000
Sb4 0.7460 0.2540 0.0000

***

Entry from Alexandria via LeMat-Bulk: a relaxed structure of AgAsIr2 (GGA-PBE).

Summary:
spin magnetization = 0.00 Bohr magnetons per cell
electronic total energy = -23.63 eV for the cell shown
space-group type = No. 65

Unit cell a=2.8416 b=2.8416 c=9.0831 alpha=90.00 beta=90.00 gamma=119.04
Fractional positions:
Ag1 0.0000 0.0000 0.0000
As1 0.0000 0.0000 0.5000
Ir1 0.5000 0.5000 0.2700
Ir2 0.5000 0.5000 0.7300

***

Entry from Alexandria via LeMat-Bulk: a relaxed structure of ZrPtCl2 (GGA-PBE).

Summary:
spin magnetization = 0.00 Bohr magnetons per cell
uncorrected formation energy = 0.1066 eV/atom
electronic total energy = -35.71 eV for the cell shown
space-group type = No. 122
polymorph energy (0 for the lowest one) = 1270 meV per atom

Unit cell a=6.4880 b=6.4880 c=6.4880 alpha=123.11 beta=123.11 gamma=84.70
Fractional positions:
Zr1 0.0000 0.0000 0.0000
Zr2 0.7500 0.2500 0.5000
Pt1 0.2500 0.7500 0.5000
Pt2 0.5000 0.5000 0.0000
Cl1 0.1273 0.6250 0.0023
Cl2 0.3750 0.3773 0.5023
Cl3 0.6227 0.1250 0.9977
Cl4 0.8750 0.8727 0.4977

***

Entry from Alexandria via LeMat-Bulk: a relaxed structure of Cu2SiBr (GGA-PBE).

Summary:
spin magnetization = 0.00 Bohr magnetons per cell
uncorrected formation energy = -0.0752 eV/atom
electronic total energy = -15.59 eV for the cell shown
space-group type = No. 160
polymorph energy (0 for the lowest one) = 0 meV per atom

Unit cell a=6.1628 b=6.1628 c=6.1628 alpha=39.39 beta=39.39 gamma=39.39
Fractional positions:
Cu1 0.0000 0.0000 0.0000
Cu2 0.3386 0.3386 0.3386
Si1 0.6452 0.6452 0.6452
Br1 0.5073 0.5073 0.5073

***

Entry from Alexandria via LeMat-Bulk: a relaxed structure of SrLa2W (GGA-PBE).

Summary:
spin magnetization = 0.00 Bohr magnetons per cell
electronic total energy = -21.67 eV for the cell shown
space-group type = No. 225
polymorph energy (0 for the lowest one) = 245 meV per atom

Unit cell a=5.4437 b=5.4437 c=5.4437 alpha=60.00 beta=60.00 gamma=60.00
Fractional positions:
Sr1 0.0000 0.0000 0.0000
La1 0.2500 0.2500 0.2500
La2 0.7500 0.7500 0.7500
W1 0.5000 0.5000 0.5000

***

Entry from Alexandria via LeMat-Bulk: a relaxed structure of Tl4MoIr (GGA-PBE).

Summary:
spin magnetization = 5.03 Bohr magnetons per cell
electronic total energy = -21.08 eV for the cell shown
space-group type = No. 216

Unit cell a=6.0246 b=6.0246 c=6.0246 alpha=60.00 beta=60.00 gamma=60.00
Fractional positions:
Tl1 0.1246 0.1246 0.1246
Tl2 0.1246 0.1246 0.6261
Tl3 0.1246 0.6261 0.1246
Tl4 0.6261 0.1246 0.1246
Mo1 0.5000 0.5000 0.5000
Ir1 0.7500 0.7500 0.7500

***

Entry from Alexandria via LeMat-Bulk: a relaxed structure of TiGaBi3 (GGA-PBE).

Summary:
spin magnetization = 0.00 Bohr magnetons per cell
electronic total energy = -18.15 eV for the cell shown
space-group type = No. 221
polymorph energy (0 for the lowest one) = 640 meV per atom

Unit cell a=5.4062 b=5.4062 c=5.4062 alpha=90.00 beta=90.00 gamma=90.00
Fractional positions:
Ti1 0.0000 0.0000 0.0000
Ga1 0.5000 0.5000 0.5000
Bi1 0.0000 0.5000 0.5000
Bi2 0.5000 0.0000 0.5000
Bi3 0.5000 0.5000 0.0000

***

Entry from Alexandria via LeMat-Bulk: a relaxed structure of Sm8GaHg2 (GGA-PBE).

Summary:
spin magnetization = 0.00 Bohr magnetons per cell
electronic total energy = -44.10 eV for the cell shown
space-group type = No. 12
polymorph energy (0 for the lowest one) = 0 meV per atom

Unit cell a=9.7206 b=9.7206 c=7.0304 alpha=107.76 beta=107.76 gamma=31.55
Fractional positions:
Sm1 0.0173 0.0173 0.2752
Sm2 0.1990 0.1990 0.8227
Sm3 0.3361 0.3361 0.5152
Sm4 0.4093 0.4093 0.0392
Sm5 0.5907 0.5907 0.9608
Sm6 0.6639 0.6639 0.4848
Sm7 0.8010 0.8010 0.1773
Sm8 0.9827 0.9827 0.7248
Ga1 0.5000 0.5000 0.5000
Hg1 0.1756 0.1756 0.2300
Hg2 0.8244 0.8244 0.7700

***

Look up the spin magnetization of the twelfth one. 0.00 Bohr magnetons per cell

***

Number 8 is which compound? Cu2SiBr

***

Look up the spin magnetization of the seventh one. 0.00 Bohr magnetons per cell

***

Number 3 is which compound? Be2AlW